1.
Computed, not measured: crystalline Cu2Ag7 at its relaxed geometry at the PBE level of DFT.

The structure in POSCAR format:
```
Cu2Ag7
1.0
6.088 -1.441 0.000
6.088 1.441 0.000
-2.122 0.000 8.566
Cu Ag
2 7
Cartesian
1.554 0.000 1.857
8.501 0.000 6.709
0.197 0.000 7.587
0.903 0.000 4.861
4.541 0.000 5.719
6.088 0.000 0.000
5.514 0.000 2.847
9.151 0.000 3.705
9.858 0.000 0.979
```

Output
The calculation puts the energy relative to the elements at 61 meV per atom. The excess energy over the best structure of this formula in the dataset comes out at 3.3 kJ/mol of atoms. As for the space-group type: C2/m, No. 12.


2.
Computed, not measured: crystalline Cu3Ag7 at its relaxed geometry at the PBE level of DFT.

The structure in POSCAR format:
```
Cu3Ag7
1.0
4.746 -1.439 0.000
4.746 1.439 0.000
-2.192 0.000 11.898
Cu Ag
3 7
Cartesian
0.000 0.000 0.000
-0.618 0.000 8.254
3.637 0.000 6.142
0.925 0.000 4.873
2.682 0.000 1.148
2.073 0.000 9.586
5.251 0.000 2.332
4.610 0.000 10.651
6.267 0.000 7.223
7.858 0.000 3.732
```

Output
The calculation puts the energy relative to the elements at 76 meV per atom. The excess energy over the best structure of this formula in the dataset comes out at 4.6 kJ/mol of atoms. As for the space-group type: Cm, No. 8.